Below is a geometry-optimized AcErPt3 structure, with properties calculated at the PBE level.

Geometry as POSCAR:
```
AcErPt3
1.0
-3.502 2.528 -0.488
-1.862 -2.954 -1.937
-4.023 -3.116 12.734
Pt Ac Er
6 2 2
Direct
0.250 0.372 0.743
0.750 0.530 0.060
0.750 0.310 0.621
0.750 0.628 0.257
0.250 0.690 0.379
0.250 0.470 0.940
0.750 0.924 0.849
0.250 0.076 0.151
0.750 0.208 0.416
0.250 0.792 0.584
```

## Properties
Space-group type   Cmcm (63)
DFT total energy   -6.510 eV per atom
Crystal system   orthorhombic


Below is a geometry-optimized CuNi6H12 structure, with properties calculated at the PBE level.

Geometry as POSCAR:
```
CuNi6H12
1.0
5.093 -0.001 -0.002
-1.264 4.934 -0.002
-1.264 -1.628 4.658
H Ni Cu
12 6 1
Direct
0.473 0.207 0.473
0.207 0.473 0.473
0.500 0.135 0.865
0.135 0.865 0.500
0.473 0.473 0.207
0.135 0.500 0.865
0.793 0.527 0.527
0.865 0.135 0.500
0.527 0.793 0.527
0.865 0.500 0.135
0.527 0.527 0.793
0.500 0.865 0.135
0.639 0.225 0.225
0.225 0.225 0.639
0.775 0.775 0.361
0.361 0.775 0.775
0.775 0.361 0.775
0.225 0.639 0.225
0.000 0.000 0.000
```

## Properties
Space-group type   R-3m (166)
DFT total energy   -4.066 eV per atom
Crystal system   trigonal


Below is a geometry-optimized K4CeY3Se8 structure, with properties calculated at the PBE level.

Geometry as POSCAR:
```
K4CeY3Se8
1.0
8.523 0.000 0.000
0.000 9.114 0.409
-4.261 -4.258 6.029
Y Se K Ce
3 8 4 1
Direct
0.500 0.500 0.500
0.000 0.500 0.500
0.500 0.500 0.000
0.265 0.295 0.530
0.271 0.293 0.032
0.735 0.705 0.470
0.761 0.293 0.521
0.729 0.707 0.968
0.239 0.707 0.968
0.761 0.293 0.032
0.239 0.707 0.479
0.000 0.000 0.000
0.500 0.000 0.000
0.500 0.000 0.500
0.000 0.000 0.500
0.000 0.500 0.000
```

## Properties
Space-group type   R-3m (166)
Crystal system   trigonal
Raw formation energy   -1.75 eV/atom


Below is a geometry-optimized LiPa2Si3 structure, with properties calculated at the PBE level.

Geometry as POSCAR:
```
LiPa2Si3
1.0
5.311 -0.057 -1.868
-0.963 5.223 -1.868
0.035 0.041 8.068
Pa Li Si
4 2 6
Direct
0.250 0.750 0.500
0.245 0.245 0.000
0.755 0.755 0.000
0.750 0.250 0.500
0.666 0.666 0.331
0.334 0.334 0.669
0.831 0.831 0.662
0.662 0.169 0.831
0.338 0.831 0.169
0.169 0.662 0.831
0.831 0.338 0.169
0.169 0.169 0.338
```

## Properties
Space-group type   Fmmm (69)
Crystal system   orthorhombic
Raw formation energy   -0.39 eV/atom


Below is a geometry-optimized NaPrAlTl structure, with properties calculated at the PBE level.

Geometry as POSCAR:
```
NaPrAlTl
1.0
5.338 0.000 0.000
2.669 4.623 0.000
2.669 1.541 4.358
Tl Pr Al Na
1 1 1 1
Direct
0.750 0.750 0.750
0.500 0.500 0.500
0.250 0.250 0.250
0.000 0.000 0.000
```

## Properties
Space-group type   F-43m (216)
DFT total energy   -3.194 eV per atom
Crystal system   cubic


Below is a geometry-optimized LiBe2H structure, with properties calculated at the PBE level.

Geometry as POSCAR:
```
LiBe2H
1.0
4.707 0.000 0.000
0.000 4.707 0.000
2.354 2.354 3.347
Li Be H
2 4 2
Direct
0.000 0.000 0.000
0.750 0.250 0.500
0.375 0.125 0.250
0.375 0.625 0.750
0.375 0.625 0.250
0.875 0.625 0.750
0.250 0.750 0.500
0.500 0.500 0.000
```

## Properties
Space-group type   I4_1/amd (141)
E above lowest polymorph   0.000 eV/atom
Crystal system   tetragonal


Below is a geometry-optimized TiV3Fe structure, with properties calculated at the PBE level.

Geometry as POSCAR:
```
TiV3Fe
1.0
-0.655 1.918 -3.838
-3.893 -1.899 -0.284
-1.805 3.400 2.007
V Ti Fe
3 1 1
Direct
0.000 0.500 0.000
0.500 0.000 0.000
0.000 0.000 0.500
0.000 0.000 0.000
0.500 0.500 0.500
```

## Properties
Space-group type   Pm-3m (221)
E above lowest polymorph   0.954 eV/atom
Crystal system   cubic


Below is a geometry-optimized CsHoCo2Cl8 structure, with properties calculated at the PBE level.

Geometry as POSCAR:
```
CsHoCo2Cl8
1.0
-5.378 3.614 0.112
-4.899 -3.105 2.890
1.573 3.952 9.286
Cl Co Cs Ho
8 2 1 1
Direct
0.736 0.235 0.191
0.753 0.753 0.014
0.264 0.765 0.809
0.685 0.685 0.394
0.235 0.736 0.191
0.315 0.315 0.606
0.765 0.264 0.809
0.247 0.247 0.986
0.385 0.385 0.798
0.615 0.615 0.202
0.000 0.000 0.500
0.000 0.000 0.000
```

## Properties
Space-group type   C2/m (12)
Crystal system   monoclinic
Raw formation energy   -1.36 eV/atom


Below is a geometry-optimized YAl2Cd2 structure, with properties calculated at the PBE level.

Geometry as POSCAR:
```
YAl2Cd2
1.0
-2.339 -3.422 -1.237
-0.405 -1.217 4.131
-6.260 0.856 1.903
Cd Al Y
2 2 1
Direct
0.250 0.750 0.500
0.750 0.250 0.500
0.605 0.605 0.790
0.395 0.395 0.210
0.000 0.000 0.000
```

## Properties
Space-group type   I4/mmm (139)
E above lowest polymorph   0.000 eV/atom
Crystal system   tetragonal


Below is a geometry-optimized Zr7Tl2N2 structure, with properties calculated at the PBE level.

Geometry as POSCAR:
```
Zr7Tl2N2
1.0
5.993 0.039 0.045
-0.416 6.353 -0.137
-0.416 -0.981 6.278
N Zr Tl
2 7 2
Direct
0.487 0.252 0.252
0.513 0.748 0.748
0.316 0.504 0.169
0.823 0.351 0.351
0.177 0.649 0.649
0.684 0.831 0.496
0.316 0.169 0.504
0.684 0.496 0.831
0.500 0.000 0.000
0.000 0.841 0.159
0.000 0.159 0.841
```

## Properties
Space-group type   C2/m (12)
Crystal system   monoclinic
Raw formation energy   -0.35 eV/atom


Below is a geometry-optimized POs2Br structure, with properties calculated at the PBE level.

Geometry as POSCAR:
```
POs2Br
1.0
4.476 0.000 0.000
2.238 3.876 0.000
2.238 1.292 3.654
Os P Br
2 1 1
Direct
0.750 0.750 0.750
0.000 0.000 0.000
0.250 0.250 0.250
0.500 0.500 0.500
```

## Properties
Space-group type   F-43m (216)
E above lowest polymorph   1.018 eV/atom
Crystal system   cubic
Raw formation energy   1.41 eV/atom


Below is a geometry-optimized Ce5InPb2 structure, with properties calculated at the PBE level.

Geometry as POSCAR:
```
Ce5InPb2
1.0
-2.032 -1.920 1.784
3.222 -7.707 -1.542
4.948 -1.946 6.625
Pb Ce In
2 5 1
Direct
0.748 0.752 0.752
0.252 0.248 0.248
0.392 0.375 0.842
0.392 0.842 0.375
0.608 0.158 0.625
0.608 0.625 0.158
0.000 0.500 0.500
0.000 0.000 0.000
```

## Properties
Space-group type   Immm (71)
DFT total energy   -5.119 eV per atom
Crystal system   orthorhombic


Please write out number 5 again, unchanged.
Below is a geometry-optimized NaPrAlTl structure, with properties calculated at the PBE level.

Geometry as POSCAR:
```
NaPrAlTl
1.0
5.338 0.000 0.000
2.669 4.623 0.000
2.669 1.541 4.358
Tl Pr Al Na
1 1 1 1
Direct
0.750 0.750 0.750
0.500 0.500 0.500
0.250 0.250 0.250
0.000 0.000 0.000
```

## Properties
Space-group type   F-43m (216)
DFT total energy   -3.194 eV per atom
Crystal system   cubic